1.
{
  "formula": "Ca2MnHg",
  "functional": "PBE-GGA",
  "state": "optimized geometry",
  "lattice": [[3.666, 0.012, 0.000], [-0.010, 3.666, 0.000], [0.000, 0.000, 8.354]],
  "species": ["Ca", "Ca", "Mn", "Hg"],
  "fractional_positions": [[0.000, 0.000, 0.945], [0.500, 0.500, 0.310], [0.500, 0.500, 0.697], [0.000, 0.000, 0.548]],
  "sg": "P4mm (99)",
  "volume_a3_per_cell": 112,
  "dft_energy_ry_per_atom": -0.243,
  "e_form_mev_per_atom": 61
}

=====

2.
{
  "formula": "Ca2MnHg",
  "functional": "PBE-GGA",
  "state": "optimized geometry",
  "lattice": [[4.773, 0.000, 0.000], [0.000, 4.001, -0.001], [0.000, 1.996, 5.837]],
  "species": ["Ca", "Ca", "Mn", "Hg"],
  "fractional_positions": [[0.000, 0.973, 0.929], [0.500, 0.274, 0.326], [0.500, 0.562, 0.750], [0.000, 0.690, 0.495]],
  "sg": "Pm (6)",
  "volume_a3_per_cell": 111,
  "dft_energy_ry_per_atom": -0.248,
  "e_form_mev_per_atom": -2
}

=====

3.
{
  "formula": "Ca2MnHg",
  "functional": "PBE-GGA",
  "state": "optimized geometry",
  "lattice": [[6.339, -0.091, 0.194], [5.320, 3.449, 0.194], [1.939, 0.558, 4.855]],
  "species": ["Ca", "Ca", "Mn", "Hg"],
  "fractional_positions": [[0.016, 0.016, 0.979], [0.225, 0.225, 0.279], [0.785, 0.785, 0.721], [0.473, 0.473, 0.520]],
  "sg": "Cm (8)",
  "volume_a3_per_cell": 107,
  "dft_energy_ry_per_atom": -0.245,
  "e_form_mev_per_atom": 34
}